Material: NiIrBr2
Method: DFT, SCAN
State: PBEsol geometry

## Properties
- magnetic moment (μB per cell) = 3.82
- calculated volume (Å³ per cell) = 143.21
- E_form (uncorrected) (eV per atom) = 0.935
- D(E_F) (states/eV per cell) = 5.2
- electronic total energy (eV/atom) = -30.613

```
data_NiIrBr2
_symmetry_space_group_name_H-M 'I -4 m 2'
_symmetry_Int_Tables_number 119
_symmetry_space_group_name_Hall 'I -4 -2'
_cell_length_a 3.542
_cell_length_b 3.542
_cell_length_c 11.412
_cell_angle_alpha 90.00
_cell_angle_beta 90.00
_cell_angle_gamma 90.00
loop_
_atom_site_label
_atom_site_fract_x
_atom_site_fract_y
_atom_site_fract_z
Ni1 0.000 0.000 0.000
Ir1 0.000 0.500 0.750
Br1 0.000 0.000 0.500
Br2 0.000 0.500 0.250
```